Entry 1:
This record from the Alexandria database describes an optimized crystal structure of Tb2HoBeC2. The functional is PBE.

Cell and atoms, written as POSCAR:
```
Tb2HoBeC2
1.0
5.425 0.000 0.000
0.000 10.960 0.000
0.000 0.000 3.622
Tb Ho Be C
4 2 2 4
Cartesian
0.005 2.254 0.000
2.708 7.733 1.811
2.717 3.226 1.811
5.421 8.706 0.000
0.000 5.480 1.811
2.713 0.000 0.000
0.000 0.000 1.811
2.713 5.480 0.000
1.269 9.794 1.811
1.443 4.314 0.000
3.982 6.646 0.000
4.156 1.166 1.811
```

Values from the calculation:
energy of formation from the pure elements = -145 meV per atom

=====

Entry 2:
This record from the Alexandria database describes an optimized crystal structure of HoTh2BeC2. The functional is PBE.

Cell and atoms, written as POSCAR:
```
HoTh2BeC2
1.0
5.537 0.000 0.000
0.000 11.260 0.000
0.000 0.000 3.680
Ho Th Be C
2 4 2 4
Cartesian
0.000 0.000 0.000
2.769 5.630 1.840
0.041 3.256 1.840
2.728 8.886 0.000
2.809 2.374 0.000
5.496 8.004 1.840
0.000 5.630 0.000
2.769 0.000 1.840
1.297 4.478 0.000
1.471 10.108 1.840
4.066 1.152 1.840
4.240 6.782 0.000
```

Values from the calculation:
energy of formation from the pure elements = -142 meV per atom

=====

Entry 3:
This record from the Alexandria database describes an optimized crystal structure of Y2HoBeC2. The functional is PBE.

Cell and atoms, written as POSCAR:
```
Y2HoBeC2
1.0
5.431 0.000 0.000
0.000 10.895 0.000
0.000 0.000 3.628
Y Ho Be C
4 2 2 4
Cartesian
0.009 2.245 0.000
2.707 7.692 1.814
2.725 3.203 1.814
5.422 8.650 0.000
0.000 5.448 1.814
2.716 0.000 0.000
0.000 0.000 1.814
2.716 5.448 0.000
1.276 1.174 1.814
1.440 6.622 0.000
3.991 4.273 0.000
4.156 9.721 1.814
```

Values from the calculation:
energy of formation from the pure elements = -156 meV per atom

=====

Entry 4:
This record from the Alexandria database describes an optimized crystal structure of Be3CI. The functional is PBE.

Cell and atoms, written as POSCAR:
```
Be3CI
1.0
3.900 0.000 0.000
0.000 3.900 0.000
0.000 0.000 3.900
Be C I
3 1 1
Cartesian
0.000 0.000 1.950
0.000 1.950 0.000
1.950 0.000 0.000
0.000 0.000 0.000
1.950 1.950 1.950
```

Values from the calculation:
ΔE to the lowest computed polymorph = 0.0000 eV per atom
ΔE_f (raw) = 3.67 eV/f.u.

=====

Entry 5:
This record from the Alexandria database describes an optimized crystal structure of BeC3I. The functional is PBE.

Cell and atoms, written as POSCAR:
```
BeC3I
1.0
3.827 0.000 0.000
0.000 3.827 0.000
0.000 0.000 3.827
Be C I
1 3 1
Cartesian
0.000 0.000 0.000
0.000 0.000 1.914
0.000 1.914 0.000
1.914 0.000 0.000
1.914 1.914 1.914
```

Values from the calculation:
ΔE to the lowest computed polymorph = 0.0000 eV per atom
ΔE_f (raw) = 13.77 eV/f.u.

=====

Entry 6:
This record from the Alexandria database describes an optimized crystal structure of BeC3I. The functional is PBE.

Cell and atoms, written as POSCAR:
```
BeC3I
1.0
4.128 0.000 0.000
0.000 4.128 0.000
0.000 0.000 4.128
Be C I
1 3 1
Cartesian
0.000 0.000 0.000
0.000 2.064 2.064
2.064 0.000 2.064
2.064 2.064 0.000
2.064 2.064 2.064
```

Values from the calculation:
ΔE to the lowest computed polymorph = 0.9635 eV per atom
ΔE_f (raw) = 18.59 eV/f.u.

=====

In μB per formula unit, the total moment values for the records above are, in order, 0.0; 0.0; 0.0; 0.0; 0.0; 0.0.